BF: optimized geometry, GGA-PBE.

total magnetic moment: 0.000 μB per atom
total DFT energy (no corrections): -4.84 eV per atom
formation energy from raw total energies: -109 kJ/mol of formula units
DOS(E_F): 0.03 states/eV/f.u.
relative energy among the computed polymorphs: 759.7 meV per atom

a b c (Å): 2.2972 2.2972 9.0599
angles (deg): 90.00 90.00 120.00
Space group P6_3mc (No. 186)
Inequivalent atoms, fractional coordinates:
B  0.3333  0.6667  0.0000 [2 per cell]
F  0.3333  0.6667  0.1464 [2 per cell]